Run w
Material: NaLaNd
Method: DFT, PBE
State: relaxed

Computed properties:
Total magnetization   0.001 μB per formula unit

a = 3.6728 Å, b = 3.6728 Å, c = 9.4300 Å
α = 90.00°, β = 90.00°, γ = 120.00°
Space group P3m1 (No. 156)
Asymmetric unit:
Na: 0.0000 0.0000 0.0000 (multiplicity 1)
La: 0.3333 0.6667 0.6495 (multiplicity 1)
Nd: 0.6667 0.3333 0.3414 (multiplicity 1)

Run x
Material: NaLaNd
Method: DFT, PBE
State: relaxed

Computed properties:
Total magnetization   0.000 μB per formula unit

a = 21.403 Å, b = 3.569 Å, c = 5.847 Å
α = 90.00°, β = 90.01°, γ = 90.00°
Space group C2/m (No. 12)
Asymmetric unit:
Na: 0.207 0.000 0.249 (multiplicity 4)
La: 0.035 0.000 0.250 (multiplicity 4)
Nd: 0.115 0.500 0.750 (multiplicity 4)

run w comes first in stability; the runner-up is 31 meV per atom higher.

Run w
Material: NaLaNd
Method: DFT, PBE
State: relaxed

Computed properties:
Total magnetization   0.000 μB per formula unit

a = 3.607 Å, b = 3.607 Å, c = 16.896 Å
α = 90.00°, β = 90.00°, γ = 90.00°
Space group I4mm (No. 107)
Asymmetric unit:
Na: 0.000 0.000 0.000 (multiplicity 2)
La: 0.000 0.000 0.324 (multiplicity 2)
Nd: 0.000 0.000 0.670 (multiplicity 2)

Run x
Material: NaLaNd
Method: DFT, PBE
State: relaxed

Computed properties:
Total magnetization   0.000 μB per formula unit

a = 3.632 Å, b = 3.632 Å, c = 16.729 Å
α = 90.00°, β = 90.00°, γ = 90.00°
Space group P4/nmm (No. 129, origin choice 2)
Asymmetric unit:
Na: 0.250 0.250 0.087 (multiplicity 2)
La: 0.250 0.250 0.416 (multiplicity 2)
Nd: 0.250 0.250 0.741 (multiplicity 2)

run x comes first in stability; the runner-up is 44 meV per atom higher.

Run w
Material: NaLa2Nd
Method: DFT, PBE
State: relaxed

Computed properties:
Total magnetization   0.000 μB per formula unit

a = 3.637 Å, b = 3.637 Å, c = 11.128 Å
α = 90.00°, β = 90.00°, γ = 90.00°
Space group P4/mmm (No. 123)
Asymmetric unit:
Na: 0.000 0.000 0.000 (multiplicity 1)
La: 0.500 0.500 0.268 (multiplicity 2)
Nd: 0.000 0.000 0.500 (multiplicity 1)

Run x
Material: NaLa2Nd
Method: DFT, PBE
State: relaxed

Computed properties:
Total magnetization   0.000 μB per formula unit

a = 3.6413 Å, b = 3.6413 Å, c = 39.5665 Å
α = 90.00°, β = 90.00°, γ = 120.00°
Space group R-3m (No. 166, hexagonal axes)
Asymmetric unit:
Na: 0.0000 0.0000 0.0000 (multiplicity 3)
La: 0.0000 0.0000 0.0915 (multiplicity 6)
Nd: 0.0000 0.0000 0.5000 (multiplicity 3)

run w comes first in stability; the runner-up is 41 meV per atom higher.

Run w
Material: NaLaNd2
Method: DFT, PBE
State: relaxed

Computed properties:
Total magnetization   0.000 μB per formula unit

a = 3.6578 Å, b = 3.6578 Å, c = 37.2149 Å
α = 90.00°, β = 90.00°, γ = 120.00°
Space group R-3m (No. 166, hexagonal axes)
Asymmetric unit:
Na: 0.0000 0.0000 0.0000 (multiplicity 3)
La: 0.0000 0.0000 0.5000 (multiplicity 3)
Nd: 0.0000 0.0000 0.2467 (multiplicity 6)

Run x
Material: NaLaNd2
Method: DFT, PBE
State: relaxed

Computed properties:
Total magnetization   0.000 μB per formula unit

a = 3.645 Å, b = 3.645 Å, c = 10.863 Å
α = 90.00°, β = 90.00°, γ = 90.00°
Space group P4/mmm (No. 123)
Asymmetric unit:
Na: 0.000 0.000 0.000 (multiplicity 1)
La: 0.000 0.000 0.500 (multiplicity 1)
Nd: 0.500 0.500 0.265 (multiplicity 2)

run w comes first in stability; the runner-up is 20 meV per atom higher.

Run w
Material: NaLaNd2
Method: DFT, PBE
State: relaxed

Computed properties:
Total magnetization   0.000 μB per formula unit

a = 6.108 Å, b = 6.108 Å, c = 3.749 Å
α = 90.00°, β = 90.00°, γ = 90.00°
Space group P4/mmm (No. 123)
Asymmetric unit:
Na: 0.000 0.000 0.000 (multiplicity 1)
La: 0.500 0.500 0.000 (multiplicity 1)
Nd: 0.000 0.500 0.500 (multiplicity 2)

Run x
Material: NaLaNd2
Method: DFT, PBE
State: relaxed

Computed properties:
Total magnetization   0.013 μB per formula unit

a = 3.6545 Å, b = 3.6545 Å, c = 37.4923 Å
α = 90.00°, β = 90.00°, γ = 120.00°
Space group R3m (No. 160, hexagonal axes)
Asymmetric unit:
Na: 0.0000 0.0000 0.0000 (multiplicity 3)
La: 0.0000 0.0000 0.8333 (multiplicity 3)
Nd: 0.0000 0.0000 0.4185 (multiplicity 3)
Nd: 0.0000 0.0000 0.5815 (multiplicity 3)

run x comes first in stability; the runner-up is 82 meV per atom higher.

Run w
Material: NaLaNi3
Method: DFT, PBE
State: relaxed

Computed properties:
Total magnetization   0.000 μB per formula unit

a = 4.926 Å, b = 4.926 Å, c = 4.926 Å
α = 90.00°, β = 90.00°, γ = 90.00°
Space group Pm-3m (No. 221)
Asymmetric unit:
Na: 0.000 0.000 0.000 (multiplicity 1)
La: 0.500 0.500 0.500 (multiplicity 1)
Ni: 0.000 0.500 0.500 (multiplicity 3)

Run x
Material: NaLaNi3
Method: DFT, PBE
State: relaxed

Computed properties:
Total magnetization   0.000 μB per formula unit

a = 4.556 Å, b = 4.556 Å, c = 4.556 Å
α = 90.00°, β = 90.00°, γ = 90.00°
Space group Pm-3m (No. 221)
Asymmetric unit:
Na: 0.000 0.000 0.000 (multiplicity 1)
La: 0.500 0.500 0.500 (multiplicity 1)
Ni: 0.000 0.000 0.500 (multiplicity 3)

run x comes first in stability; the runner-up is 258 meV per atom higher.

Run w
Material: NaLaNi
Method: DFT, PBE
State: relaxed

Computed properties:
Total magnetization   0.000 μB per formula unit

a = 7.039 Å, b = 4.063 Å, c = 13.699 Å
α = 90.00°, β = 90.02°, γ = 90.00°
Space group C2 (No. 5)
Asymmetric unit:
Na: 0.166 0.000 0.118 (multiplicity 4)
La: 0.001 0.496 0.636 (multiplicity 4)
Ni: 0.166 0.996 0.500 (multiplicity 4)

Run x
Material: NaLaNi
Method: DFT, PBE
State: relaxed

Computed properties:
Total magnetization   0.000 μB per formula unit

a = 3.852 Å, b = 21.211 Å, c = 4.106 Å
α = 90.00°, β = 90.00°, γ = 90.00°
Space group Cmcm (No. 63)
Asymmetric unit:
Na: 0.000 0.198 0.250 (multiplicity 4)
La: 0.000 0.425 0.250 (multiplicity 4)
Ni: 0.000 0.035 0.250 (multiplicity 4)

run w comes first in stability; the runner-up is 61 meV per atom higher.

Run w
Material: NaLa2ScNi
Method: DFT, PBE
State: relaxed

Computed properties:
Total magnetization   0.000 μB per formula unit

a = 5.524 Å, b = 5.524 Å, c = 5.205 Å
α = 90.00°, β = 90.00°, γ = 90.00°
Space group P4/mmm (No. 123)
Asymmetric unit:
Na: 0.000 0.000 0.000 (multiplicity 1)
La: 0.000 0.500 0.500 (multiplicity 2)
Sc: 0.500 0.500 0.000 (multiplicity 1)
Ni: 0.500 0.500 0.500 (multiplicity 1)

Run x
Material: NaLa2ScNi
Method: DFT, PBE
State: relaxed

Computed properties:
Total magnetization   0.000 μB per formula unit

a = 5.910 Å, b = 5.910 Å, c = 4.548 Å
α = 90.00°, β = 90.00°, γ = 90.00°
Space group P4/mmm (No. 123)
Asymmetric unit:
Na: 0.000 0.000 0.000 (multiplicity 1)
La: 0.000 0.500 0.500 (multiplicity 2)
Sc: 0.500 0.500 0.500 (multiplicity 1)
Ni: 0.500 0.500 0.000 (multiplicity 1)

run w comes first in stability; the runner-up is 481 meV per atom higher.

Run w
Material: NaSrLa2Ni
Method: DFT, PBE
State: relaxed

Computed properties:
Total magnetization   0.002 μB per formula unit

a = 5.471 Å, b = 5.471 Å, c = 6.238 Å
α = 90.00°, β = 90.00°, γ = 90.00°
Space group P4/mmm (No. 123)
Asymmetric unit:
Na: 0.000 0.000 0.000 (multiplicity 1)
Sr: 0.500 0.500 0.000 (multiplicity 1)
La: 0.000 0.500 0.500 (multiplicity 2)
Ni: 0.500 0.500 0.500 (multiplicity 1)

Run x
Material: NaSrLa2Ni
Method: DFT, PBE
State: relaxed

Computed properties:
Total magnetization   0.000 μB per formula unit

a = 5.461 Å, b = 5.461 Å, c = 6.057 Å
α = 90.00°, β = 90.00°, γ = 90.00°
Space group P4/mmm (No. 123)
Asymmetric unit:
Na: 0.000 0.000 0.000 (multiplicity 1)
Sr: 0.500 0.500 0.000 (multiplicity 1)
La: 0.000 0.500 0.500 (multiplicity 2)
Ni: 0.000 0.000 0.500 (multiplicity 1)

run w comes first in stability; the runner-up is 77 meV per atom higher.

Run w
Material: NaLaO
Method: DFT, PBE
State: relaxed

Computed properties:
Total magnetization   0.000 μB per formula unit

a = 21.605 Å, b = 4.168 Å, c = 8.401 Å
α = 90.00°, β = 92.06°, γ = 90.00°
Space group C2/m (No. 12)
Asymmetric unit:
Na: 0.044 0.000 0.333 (multiplicity 4)
Na: 0.067 0.500 0.880 (multiplicity 4)
La: 0.196 0.000 0.621 (multiplicity 4)
La: 0.198 0.000 0.120 (multiplicity 4)
O: 0.250 0.000 0.377 (multiplicity 4)
O: 0.250 0.000 0.872 (multiplicity 4)

Run x
Material: NaLaO
Method: DFT, PBE
State: relaxed

Computed properties:
Total magnetization   0.000 μB per formula unit

a = 4.858 Å, b = 4.858 Å, c = 6.507 Å
α = 90.00°, β = 90.00°, γ = 90.00°
Space group P4/nmm (No. 129, origin choice 2)
Asymmetric unit:
Na: 0.250 0.250 0.044 (multiplicity 2)
La: 0.250 0.750 0.500 (multiplicity 2)
O: 0.250 0.250 0.433 (multiplicity 2)

run w comes first in stability; the runner-up is 163 meV per atom higher.

Run w
Material: NaLaPO2
Method: DFT, PBE
State: relaxed

Computed properties:
Total magnetization   0.567 μB per formula unit

a = 4.309 Å, b = 4.309 Å, c = 4.532 Å
α = 90.00°, β = 90.00°, γ = 90.00°
Space group P4/mmm (No. 123)
Asymmetric unit:
Na: 0.000 0.000 0.000 (multiplicity 1)
La: 0.500 0.500 0.500 (multiplicity 1)
P: 0.000 0.000 0.500 (multiplicity 1)
O: 0.000 0.500 0.000 (multiplicity 2)

Run x
Material: NaLaPO2
Method: DFT, PBE
State: relaxed

Computed properties:
Total magnetization   3.011 μB per formula unit

a = 4.480 Å, b = 4.480 Å, c = 6.160 Å
α = 90.00°, β = 90.00°, γ = 90.00°
Space group P4/mmm (No. 123)
Asymmetric unit:
Na: 0.000 0.000 0.000 (multiplicity 1)
La: 0.500 0.500 0.500 (multiplicity 1)
P: 0.500 0.500 0.000 (multiplicity 1)
O: 0.000 0.500 0.500 (multiplicity 2)

run x comes first in stability; the runner-up is 419 meV per atom higher.

Run w
Material: NaLaSe2O6
Method: DFT, PBE
State: relaxed

Computed properties:
Total magnetization   0.000 μB per formula unit

a = 7.890 Å, b = 10.936 Å, c = 7.889 Å
α = 90.00°, β = 93.78°, γ = 90.00°
Space group C2/c (No. 15)
Asymmetric unit:
Na: 0.000 0.189 0.250 (multiplicity 4)
La: 0.000 0.418 0.750 (multiplicity 4)
Se: 0.200 0.115 0.868 (multiplicity 8)
O: 0.083 0.388 0.064 (multiplicity 8)
O: 0.197 0.241 0.738 (multiplicity 8)
O: 0.199 0.007 0.232 (multiplicity 8)

Run x
Material: NaLaSe2O6
Method: DFT, PBE
State: relaxed

Computed properties:
Total magnetization   0.000 μB per formula unit

a = 8.001 Å, b = 8.001 Å, c = 8.001 Å
α = 90.00°, β = 90.00°, γ = 90.00°
Space group Fm-3m (No. 225)
Asymmetric unit:
Na: 0.000 0.000 0.000 (multiplicity 4)
La: 0.000 0.000 0.500 (multiplicity 4)
Se: 0.250 0.250 0.250 (multiplicity 8)
O: 0.000 0.250 0.250 (multiplicity 24)

run w comes first in stability; the runner-up is 411 meV per atom higher.